[1]
## ErGeRu (PBE)

Data for crystalline ErGeRu at its relaxed geometry.

For the density, the calculation gives 10.3 g/cm³. The value obtained for the formation enthalpy at 0 K is -511 meV per atom.

The space group is I4mm (No. 107) and the conventional cell measures 3.2227, 3.2227 and 10.5607 Å, with angles of 90.00, 90.00 and 90.00 degrees. The distinct sites, in fractional coordinates, are Er at (0.0000, 0.0000, 0.0000), Ge at (0.0000, 0.0000, 0.7017) and Ru at (0.0000, 0.0000, 0.3149).

---

[2]
## Er2Ge2Ru (PBE)

Data for crystalline Er2Ge2Ru at its relaxed geometry.

For the density, the calculation gives 9.5 g/cm³. The value obtained for the formation enthalpy at 0 K is -805 meV per atom.

The space group is C2/m (No. 12) and the conventional cell measures 10.6836, 4.2754 and 10.1062 Å, with angles of 90.00, 118.12 and 90.00 degrees. The distinct sites, in fractional coordinates, are Er at (0.0012, 0.0000, 0.1730), Er at (0.1835, 0.0000, 0.6119), Ge at (0.0138, 0.5000, 0.3761), Ge at (0.1434, 0.5000, 0.0650) and Ru at (0.2293, 0.5000, 0.8703).